Entry 1:
Li2ThTl2Ag2 | Alexandria | GGA-PBE | optimized geometry; space-group type = C2/m, No. 12; formation energy from the elements = -0.113 eV per atom; uncorrected energy = -22.47 eV/cell; ρ = 9.410 g/cm3; spin magnetization = 0.00 μB/cell
1.0
-3.701 1.916 1.129
1.977 -3.109 3.501
3.954 6.286 2.293
Li Th Tl Ag
2 1 2 2
Direct
0.131 0.261 0.441 Li
0.869 0.739 0.559 Li
0.000 0.000 0.000 Th
0.717 0.434 0.217 Tl
0.283 0.566 0.783 Tl
0.578 0.155 0.675 Ag
0.422 0.845 0.325 Ag

***

Entry 2:
LiTmThAg | Alexandria | GGA-PBE | optimized geometry; space-group type = F-43m, No. 216; formation energy from the elements = 0.062 eV per atom; uncorrected energy = -16.41 eV/cell; ρ = 8.602 g/cm3; spin magnetization = 0.92 μB/cell
1.0
5.203 0.000 0.000
2.601 4.506 0.000
2.601 1.502 4.248
Tm Ag Th Li
1 1 1 1
Direct
0.500 0.500 0.500 Tm
0.250 0.250 0.250 Ag
0.000 0.000 0.000 Th
0.750 0.750 0.750 Li

***

Entry 3:
LiYThAg | Alexandria | GGA-PBE | optimized geometry; space-group type = F-43m, No. 216; formation energy from the elements = 0.058 eV per atom; uncorrected energy = -18.42 eV/cell; ρ = 7.114 g/cm3; spin magnetization = 1.09 μB/cell
1.0
-4.228 -1.388 2.766
0.453 -1.098 5.103
-1.986 3.279 3.571
Y Ag Th Li
1 1 1 1
Direct
0.250 0.250 0.250 Y
0.500 0.500 0.500 Ag
0.750 0.750 0.750 Th
0.000 0.000 0.000 Li

***

Entry 4:
LiTi2Ag2 | Alexandria | GGA-PBE | optimized geometry; space-group type = P4/mbm, No. 127; formation energy from the elements = 0.199 eV per atom; uncorrected energy = -44.82 eV/cell; ρ = 5.669 g/cm3; spin magnetization = 0.00 μB/cell
1.0
-4.883 -6.024 -2.719
-0.818 -2.803 7.681
-2.205 1.626 0.358
Li Ag Ti
2 4 4
Direct
0.000 0.000 0.000 Li
0.500 0.500 0.000 Li
0.180 0.680 0.500 Ag
0.680 0.820 0.500 Ag
0.820 0.320 0.500 Ag
0.320 0.180 0.500 Ag
0.385 0.885 0.000 Ti
0.885 0.615 0.000 Ti
0.615 0.115 0.000 Ti
0.115 0.385 0.000 Ti

***

Entry 5:
LiTiAg3 | Alexandria | GGA-PBE | optimized geometry; space-group type = Pm-3m, No. 221; formation energy from the elements = 0.488 eV per atom; uncorrected energy = -15.92 eV/cell; ρ = 7.088 g/cm3; spin magnetization = 0.00 μB/cell
1.0
-1.627 -3.709 1.864
3.770 -2.158 -1.003
1.737 1.210 3.924
Li Ag Ti
1 3 1
Direct
0.000 0.000 0.000 Li
0.000 0.500 0.000 Ag
0.000 0.000 0.500 Ag
0.500 0.000 0.000 Ag
0.500 0.500 0.500 Ti

***

Entry 6:
LiTiAg | Alexandria | GGA-PBE | optimized geometry; space-group type = P-1, No. 2; formation energy from the elements = 0.160 eV per atom; uncorrected energy = -24.36 eV/cell; ρ = 5.072 g/cm3; spin magnetization = 0.00 μB/cell
1.0
2.825 0.423 -0.052
1.046 2.660 -0.146
-0.904 -1.873 15.161
Ti Ag Li
2 2 2
Direct
0.337 0.075 0.744 Ti
0.663 0.925 0.256 Ti
0.333 0.749 0.416 Ag
0.667 0.251 0.584 Ag
0.666 0.579 0.911 Li
0.334 0.421 0.089 Li

***

Entry 7:
LiTiAg3 | Alexandria | GGA-PBE | optimized geometry; space-group type = Pm-3m, No. 221; formation energy from the elements = 0.808 eV per atom; uncorrected energy = -14.32 eV/cell; ρ = 4.743 g/cm3; spin magnetization = 1.38 μB/cell
1.0
5.098 0.000 0.000
0.000 5.098 0.000
0.000 0.000 5.098
Li Ag Ti
1 3 1
Direct
0.500 0.500 0.500 Li
0.000 0.500 0.000 Ag
0.000 0.000 0.500 Ag
0.500 0.000 0.000 Ag
0.000 0.000 0.000 Ti

***

Entry 8:
LiTi3Ag | Alexandria | GGA-PBE | optimized geometry; space-group type = Pm-3m, No. 221; formation energy from the elements = 1.126 eV per atom; uncorrected energy = -22.82 eV/cell; ρ = 3.458 g/cm3; spin magnetization = 4.28 μB/cell
1.0
4.988 0.000 0.000
0.000 4.988 0.000
0.000 0.000 4.988
Li Ag Ti
1 1 3
Direct
0.500 0.500 0.500 Li
0.000 0.000 0.000 Ag
0.000 0.500 0.000 Ti
0.000 0.000 0.500 Ti
0.500 0.000 0.000 Ti

***

Entry 9:
Li2TiAg | Alexandria | GGA-PBE | optimized geometry; space-group type = I-42d, No. 122; formation energy from the elements = 0.408 eV per atom; uncorrected energy = -25.88 eV/cell; ρ = 3.893 g/cm3; spin magnetization = 4.69 μB/cell
1.0
-5.110 -0.855 -5.077
1.334 -7.128 -0.142
-3.774 -4.384 -0.646
Li Ag Ti
4 2 2
Direct
0.651 0.125 0.250 Li
0.099 0.625 0.250 Li
0.375 0.349 0.750 Li
0.875 0.901 0.750 Li
0.000 0.000 0.000 Ag
0.750 0.250 0.500 Ag
0.500 0.500 0.000 Ti
0.250 0.750 0.500 Ti

***

Entry 10:
LiTi2Ag2 | Alexandria | GGA-PBE | optimized geometry; space-group type = P4/mbm, No. 127; formation energy from the elements = 0.218 eV per atom; uncorrected energy = -44.64 eV/cell; ρ = 5.748 g/cm3; spin magnetization = 0.00 μB/cell
1.0
-1.193 2.544 -7.553
-1.989 -7.491 -2.209
-2.713 0.540 0.610
Li Ag Ti
2 4 4
Direct
0.000 0.000 0.000 Li
0.500 0.500 0.000 Li
0.368 0.868 0.000 Ag
0.868 0.632 0.000 Ag
0.632 0.132 0.000 Ag
0.132 0.368 0.000 Ag
0.164 0.664 0.500 Ti
0.664 0.836 0.500 Ti
0.836 0.336 0.500 Ti
0.336 0.164 0.500 Ti

***

Entry 11:
Li2TiAg | Alexandria | GGA-PBE | optimized geometry; space-group type = R-3m, No. 166; formation energy from the elements = 0.136 eV per atom; uncorrected energy = -14.03 eV/cell; ρ = 4.118 g/cm3; spin magnetization = 0.00 μB/cell
1.0
-0.614 2.307 1.469
-1.671 -0.171 2.244
7.255 -0.880 7.088
Li Ag Ti
2 1 1
Direct
0.090 0.090 0.730 Li
0.910 0.910 0.270 Li
0.500 0.500 0.500 Ag
0.000 0.000 0.000 Ti

***

Entry 12:
Li4TiAg5 | Alexandria | GGA-PBE | optimized geometry; space-group type = P4/mmm, No. 123; formation energy from the elements = -0.134 eV per atom; uncorrected energy = -31.15 eV/cell; ρ = 6.223 g/cm3; spin magnetization = 1.17 μB/cell
1.0
-1.921 -1.619 -1.575
0.630 -2.369 1.668
-13.654 4.697 11.828
Li Ti Ag
4 1 5
Direct
0.000 0.000 0.205 Li
0.000 0.000 0.402 Li
0.000 0.000 0.598 Li
0.000 0.000 0.795 Li
0.000 0.000 0.000 Ti
0.500 0.500 0.107 Ag
0.500 0.500 0.303 Ag
0.500 0.500 0.500 Ag
0.500 0.500 0.697 Ag
0.500 0.500 0.893 Ag

***

Entry 13:
LiTi3Ag | Alexandria | GGA-PBE | optimized geometry; space-group type = Pm-3m, No. 221; formation energy from the elements = 0.895 eV per atom; uncorrected energy = -23.97 eV/cell; ρ = 4.961 g/cm3; spin magnetization = 0.00 μB/cell
1.0
4.422 0.000 0.000
0.000 4.422 0.000
0.000 0.000 4.422
Li Ag Ti
1 1 3
Direct
0.000 0.000 0.000 Li
0.500 0.500 0.500 Ag
0.000 0.500 0.000 Ti
0.000 0.000 0.500 Ti
0.500 0.000 0.000 Ti

***

Entry 14:
Li2TiAg | Alexandria | GGA-PBE | optimized geometry; space-group type = Fm-3m, No. 225; formation energy from the elements = 0.276 eV per atom; uncorrected energy = -13.47 eV/cell; ρ = 4.561 g/cm3; spin magnetization = 0.00 μB/cell
1.0
0.000 3.137 3.137
3.137 0.000 3.137
3.137 3.137 0.000
Li Ag Ti
2 1 1
Direct
0.250 0.250 0.250 Li
0.750 0.750 0.750 Li
0.500 0.500 0.500 Ag
0.000 0.000 0.000 Ti

***

Entry 15:
Li3TiAg | Alexandria | GGA-PBE | optimized geometry; space-group type = Pm-3m, No. 221; formation energy from the elements = 0.635 eV per atom; uncorrected energy = -13.31 eV/cell; ρ = 2.920 g/cm3; spin magnetization = 0.00 μB/cell
1.0
-2.232 -2.822 2.943
3.974 -2.256 0.851
0.911 2.925 3.496
Li Ag Ti
3 1 1
Direct
0.000 0.500 0.000 Li
0.000 0.000 0.500 Li
0.500 0.000 0.000 Li
0.000 0.000 0.000 Ag
0.500 0.500 0.500 Ti

***

Entry 16:
Li15TlAg4 | Alexandria | GGA-PBE | optimized geometry; space-group type = P4/mmm, No. 123; formation energy from the elements = -0.144 eV per atom; uncorrected energy = -45.36 eV/cell; ρ = 3.547 g/cm3; spin magnetization = 0.00 μB/cell
1.0
-1.551 -3.534 1.614
3.386 -2.081 -1.303
9.011 3.897 17.195
Li Tl Ag
15 1 4
Direct
0.500 0.500 0.000 Li
0.500 0.500 0.206 Li
0.500 0.500 0.402 Li
0.500 0.500 0.598 Li
0.500 0.500 0.794 Li
0.500 0.000 0.108 Li
0.500 0.000 0.303 Li
0.500 0.000 0.500 Li
0.500 0.000 0.697 Li
0.500 0.000 0.892 Li
0.000 0.500 0.108 Li
0.000 0.500 0.303 Li
0.000 0.500 0.500 Li
0.000 0.500 0.697 Li
0.000 0.500 0.892 Li
0.000 0.000 0.000 Tl
0.000 0.000 0.206 Ag
0.000 0.000 0.402 Ag
0.000 0.000 0.598 Ag
0.000 0.000 0.794 Ag

***

Entry 17:
Li4Tl2Ag | Alexandria | GGA-PBE | optimized geometry; space-group type = P2_1/m, No. 11; formation energy from the elements = -0.128 eV per atom; uncorrected energy = -32.27 eV/cell; ρ = 6.521 g/cm3; spin magnetization = 0.00 μB/cell
1.0
-0.188 -7.007 1.881
5.341 -0.217 -0.272
0.512 5.054 6.021
Li Tl Ag
8 4 2
Direct
0.576 0.500 0.211 Li
0.064 0.750 0.837 Li
0.936 0.250 0.163 Li
0.576 0.000 0.211 Li
0.972 0.250 0.568 Li
0.424 0.000 0.789 Li
0.424 0.500 0.789 Li
0.028 0.750 0.432 Li
0.794 0.750 0.024 Tl
0.206 0.250 0.976 Tl
0.333 0.250 0.442 Tl
0.667 0.750 0.558 Tl
0.243 0.750 0.217 Ag
0.757 0.250 0.783 Ag

***

Entry 18:
Li3Tl2Ag8 | Alexandria | GGA-PBE | optimized geometry; space-group type = R-3m, No. 166; formation energy from the elements = 0.012 eV per atom; uncorrected energy = -33.13 eV/cell; ρ = 8.008 g/cm3; spin magnetization = 0.00 μB/cell
1.0
5.514 0.000 0.000
2.757 4.775 0.000
2.757 1.592 10.180
Li Tl Ag
3 2 8
Direct
0.000 0.000 0.000 Li
0.816 0.816 0.551 Li
0.184 0.184 0.449 Li
0.640 0.640 0.079 Tl
0.360 0.360 0.921 Tl
0.733 0.733 0.802 Ag
0.267 0.267 0.198 Ag
0.222 0.724 0.329 Ag
0.724 0.222 0.329 Ag
0.724 0.724 0.329 Ag
0.276 0.778 0.671 Ag
0.778 0.276 0.671 Ag
0.276 0.276 0.671 Ag

***

Entry 19:
Li2Tl2Ag3 | Alexandria | GGA-PBE | optimized geometry; space-group type = I2_13, No. 199; formation energy from the elements = -0.012 eV per atom; uncorrected energy = -34.40 eV/cell; ρ = 8.216 g/cm3; spin magnetization = 0.00 μB/cell
1.0
-5.627 4.382 -1.638
-2.473 -5.958 3.454
4.686 3.568 4.342
Li Tl Ag
4 4 6
Direct
0.000 0.000 0.874 Li
0.500 0.874 0.500 Li
0.126 0.626 0.626 Li
0.374 0.500 0.000 Li
0.000 0.000 0.505 Tl
0.500 0.505 0.500 Tl
0.495 0.995 0.995 Tl
0.005 0.500 0.000 Tl
0.750 0.750 0.000 Ag
0.750 0.250 0.500 Ag
0.000 0.250 0.250 Ag
0.500 0.250 0.750 Ag
0.250 0.000 0.250 Ag
0.750 0.500 0.250 Ag

***

Entry 20:
Li6TlAg8 | Alexandria | GGA-PBE | optimized geometry; space-group type = R-3, No. 148; formation energy from the elements = -0.080 eV per atom; uncorrected energy = -37.85 eV/cell; ρ = 6.675 g/cm3; spin magnetization = 0.00 μB/cell
1.0
-4.024 -6.157 1.810
0.460 -6.223 -4.295
3.024 -5.964 2.285
Li Tl Ag
6 1 8
Direct
0.387 0.114 0.863 Li
0.886 0.364 0.137 Li
0.364 0.613 0.137 Li
0.636 0.387 0.863 Li
0.114 0.636 0.863 Li
0.613 0.886 0.137 Li
0.000 0.000 0.000 Tl
0.586 0.174 0.378 Ag
0.826 0.138 0.622 Ag
0.138 0.414 0.622 Ag
0.751 0.751 0.746 Ag
0.249 0.249 0.254 Ag
0.862 0.586 0.378 Ag
0.174 0.862 0.378 Ag
0.414 0.826 0.622 Ag

***

Entry 21:
Li2TlAg4 | Alexandria | GGA-PBE | optimized geometry; space-group type = I4/mmm, No. 139; formation energy from the elements = -0.032 eV per atom; uncorrected energy = -17.82 eV/cell; ρ = 7.238 g/cm3; spin magnetization = 0.00 μB/cell
1.0
-1.575 3.582 -0.432
-3.190 -1.602 -1.660
-1.737 -1.756 9.703
Li Tl Ag
2 1 4
Direct
0.624 0.624 0.248 Li
0.376 0.376 0.752 Li
0.000 0.000 0.000 Tl
0.142 0.142 0.285 Ag
0.858 0.858 0.715 Ag
0.750 0.250 0.500 Ag
0.250 0.750 0.500 Ag

***

Entry 22:
Li7Tl3Ag2 | Alexandria | GGA-PBE | optimized geometry; space-group type = Cmmm, No. 65; formation energy from the elements = -0.113 eV per atom; uncorrected energy = -27.56 eV/cell; ρ = 6.136 g/cm3; spin magnetization = 0.00 μB/cell
1.0
4.734 0.000 0.000
0.000 4.547 -0.903
0.000 -0.166 11.065
Li Tl Ag
7 3 2
Direct
0.000 0.420 0.839 Li
0.000 0.724 0.449 Li
0.000 0.000 0.000 Li
0.000 0.580 0.161 Li
0.500 0.081 0.162 Li
0.500 0.919 0.838 Li
0.000 0.276 0.551 Li
0.500 0.500 0.000 Tl
0.500 0.664 0.328 Tl
0.500 0.336 0.672 Tl
0.000 0.852 0.703 Ag
0.000 0.148 0.297 Ag

***

Entry 23:
LiTlAg2 | Alexandria | GGA-PBE | optimized geometry; space-group type = P4/mmm, No. 123; formation energy from the elements = -0.063 eV per atom; uncorrected energy = -10.23 eV/cell; ρ = 9.129 g/cm3; spin magnetization = 0.00 μB/cell
1.0
3.348 -0.013 0.000
0.013 3.348 0.000
0.000 0.000 6.930
Tl Ag Li
1 2 1
Direct
0.500 0.500 0.750 Tl
0.000 0.000 0.043 Ag
0.000 0.000 0.457 Ag
0.500 0.500 0.250 Li

***

Entry 24:
Li4TlAg3 | Alexandria | GGA-PBE | optimized geometry; space-group type = Pmma, No. 51; formation energy from the elements = -0.208 eV per atom; uncorrected energy = -40.48 eV/cell; ρ = 6.731 g/cm3; spin magnetization = 0.00 μB/cell
1.0
-3.094 3.326 1.533
-2.682 -0.018 -5.374
-5.901 -6.859 2.969
Tl Ag Li
2 6 8
Direct
0.000 0.500 0.000 Tl
0.000 0.500 0.500 Tl
0.000 0.000 0.000 Ag
0.000 0.000 0.500 Ag
0.567 0.000 0.750 Ag
0.433 0.000 0.250 Ag
0.554 0.500 0.750 Ag
0.446 0.500 0.250 Ag
0.500 0.758 0.000 Li
0.500 0.758 0.500 Li
0.500 0.242 0.000 Li
0.500 0.242 0.500 Li
0.065 0.758 0.750 Li
0.935 0.758 0.250 Li
0.935 0.242 0.250 Li
0.065 0.242 0.750 Li